(1)
# Ta2Be2Tc

A crystal of Ta2Be2Tc relaxed with PBEsol (SCAN, the Alexandria database).

Results
Space-group type ... P4/mbm
Formation energy from the elements ... -2.0 eV per formula unit
Crystal system ... tetragonal
Spin magnetization ... 0.0000 μB per atom

a b c (Å): 6.2673 6.2673 3.2597
angles (deg): 90.00 90.00 90.00
Closest atoms and distances in Å follow each position.
Fractional positions:
Ta 0.1784 0.3216 0.0000  6 Be 2.43-2.50
Ta 0.3216 0.8216 0.0000  6 Be 2.43-2.50
Ta 0.6784 0.1784 0.0000  6 Be 2.43-2.50
Ta 0.8216 0.6784 0.0000  6 Be 2.43-2.50
Be 0.1179 0.6179 0.5000  1 Be 2.09
Be 0.3821 0.1179 0.5000  1 Be 2.09
Be 0.6179 0.8821 0.5000  1 Be 2.09
Be 0.8821 0.3821 0.5000  1 Be 2.09
Tc 0.0000 0.0000 0.5000  4 Be 2.51
Tc 0.5000 0.5000 0.5000  4 Be 2.51

(2)
# TaBeTc3

A crystal of TaBeTc3 relaxed with PBEsol (SCAN, the Alexandria database).

Results
Space-group type ... Pm-3m
Formation energy from the elements ... 1.6 eV per formula unit
Crystal system ... cubic
Spin magnetization ... 0.0002 μB per atom

a b c (Å): 4.1121 4.1121 4.1121
angles (deg): 90.00 90.00 90.00
Closest atoms and distances in Å follow each position.
Fractional positions:
Ta 0.0000 0.0000 0.0000  12 Tc 2.91
Be 0.5000 0.5000 0.5000  6 Tc 2.06
Tc 0.0000 0.5000 0.5000  2 Be 2.06
Tc 0.5000 0.0000 0.5000  2 Be 2.06
Tc 0.5000 0.5000 0.0000  2 Be 2.06

(3)
# Ta2BeTc

A crystal of Ta2BeTc relaxed with PBEsol (SCAN, the Alexandria database).

Results
Space-group type ... P4mm
Formation energy from the elements ... 0.4 eV per formula unit
Crystal system ... tetragonal
Spin magnetization ... 0.0008 μB per atom

a b c (Å): 2.7284 2.7284 7.8228
angles (deg): 90.00 90.00 90.00
Closest atoms and distances in Å follow each position.
Fractional positions:
Ta 0.0000 0.0000 0.0000  4 Be 2.62, 4 Ta 2.73
Ta 0.5000 0.5000 0.3022  8 Ta 2.73-3.05, 4 Tc 2.92
Be 0.5000 0.5000 0.7727  4 Tc 2.44, 4 Ta 2.62, 4 Be 2.73
Tc 0.0000 0.0000 0.5821  4 Be 2.44, 4 Tc 2.73

(4)
# Ta2BeTc

A crystal of Ta2BeTc relaxed with PBEsol (SCAN, the Alexandria database).

Results
Space-group type ... P4mm
Formation energy from the elements ... -0.8 eV per formula unit
Crystal system ... tetragonal
Spin magnetization ... 0.0000 μB per atom

a b c (Å): 3.1577 3.1577 5.8693
angles (deg): 90.00 90.00 90.00
Closest atoms and distances in Å follow each position.
Fractional positions:
Ta 0.0000 0.0000 0.0000  1 Tc 2.53, 4 Be 2.65
Ta 0.5000 0.5000 0.3002  1 Be 2.68, 4 Tc 2.73, 4 Ta 2.84
Be 0.5000 0.5000 0.7570  4 Tc 2.49, 5 Ta 2.65-2.68
Tc 0.0000 0.0000 0.5692  4 Be 2.49, 5 Ta 2.53-2.73

(5)
# Ta3BeTc

A crystal of Ta3BeTc relaxed with PBEsol (SCAN, the Alexandria database).

Results
Space-group type ... Pm-3m
Formation energy from the elements ... 3.5 eV per formula unit
Crystal system ... cubic
Spin magnetization ... 0.0002 μB per atom

a b c (Å): 4.3230 4.3230 4.3230
angles (deg): 90.00 90.00 90.00
Closest atoms and distances in Å follow each position.
Fractional positions:
Ta 0.0000 0.0000 0.5000  2 Be 2.16
Ta 0.0000 0.5000 0.0000  2 Be 2.16
Ta 0.5000 0.0000 0.0000  2 Be 2.16
Be 0.0000 0.0000 0.0000  6 Ta 2.16
Tc 0.5000 0.5000 0.5000  12 Ta 3.06

(6)
# TaBeTc2

A crystal of TaBeTc2 relaxed with PBEsol (SCAN, the Alexandria database).

Results
Space-group type ... C2/m
Formation energy from the elements ... -0.2 eV per formula unit
Crystal system ... monoclinic
Spin magnetization ... 0.0000 μB per atom

a b c (Å): 5.0138 5.0138 2.6905
angles (deg): 102.67 102.67 115.69
Closest atoms and distances in Å follow each position.
Fractional positions:
Ta 0.0000 0.0000 0.0000  4 Tc 2.57, 2 Be 2.67, 2 Ta 2.69
Be 0.5000 0.5000 0.0000  4 Tc 2.57, 2 Ta 2.67, 2 Be 2.69
Tc 0.0000 0.5000 0.5000  2 Ta 2.57, 2 Be 2.57, 4 Tc 2.67-2.69
Tc 0.5000 0.0000 0.5000  2 Ta 2.57, 2 Be 2.57, 4 Tc 2.67-2.69

(7)
# TaBe4Tc

A crystal of TaBe4Tc relaxed with PBEsol (SCAN, the Alexandria database).

Results
Space-group type ... F-43m
Formation energy from the elements ... -2.8 eV per formula unit
Crystal system ... cubic
Spin magnetization ... 0.0099 μB per atom

a b c (Å): 4.4406 4.4406 4.4406
angles (deg): 60.00 60.00 60.00
Closest atoms and distances in Å follow each position.
Fractional positions:
Ta 0.0000 0.0000 0.0000  12 Be 2.61, 4 Tc 2.72
Be 0.1274 0.6242 0.6242  6 Be 2.21-2.23
Be 0.6242 0.1274 0.6242  6 Be 2.21-2.23
Be 0.6242 0.6242 0.1274  6 Be 2.21-2.23
Be 0.6242 0.6242 0.6242  6 Be 2.21-2.23
Tc 0.2500 0.2500 0.2500  12 Be 2.60, 4 Ta 2.72

(8)
# TaBeZn2Tc

A crystal of TaBeZn2Tc relaxed with PBEsol (SCAN, the Alexandria database).

Results
Space-group type ... P4/mmm
Formation energy from the elements ... 8.8 eV per formula unit
Crystal system ... tetragonal
Spin magnetization ... 0.0000 μB per atom

a b c (Å): 4.8820 4.8820 4.5467
angles (deg): 90.00 90.00 90.00
Closest atoms and distances in Å follow each position.
Fractional positions:
Ta 0.0000 0.0000 0.0000  2 Tc 2.27, 4 Zn 2.44
Be 0.5000 0.5000 0.5000  8 Zn 3.34, 4 Tc 3.45
Zn 0.0000 0.5000 0.0000  2 Ta 2.44
Zn 0.5000 0.0000 0.0000  2 Ta 2.44
Tc 0.0000 0.0000 0.5000  2 Ta 2.27

(9)
# Ta2BeTe

A crystal of Ta2BeTe relaxed with PBEsol (SCAN, the Alexandria database).

Results
Space-group type ... P4/mmm
Crystal system ... tetragonal
Spin magnetization ... 0.0000 μB per atom
Energy ... -173.00 eV per formula unit

a b c (Å): 4.0709 4.0709 4.0148
angles (deg): 90.00 90.00 90.00
Closest atoms and distances in Å follow each position.
Fractional positions:
Ta 0.0000 0.5000 0.0000  4 Te 2.86, 4 Be 2.86, 4 Ta 2.88
Ta 0.5000 0.0000 0.0000  4 Te 2.86, 4 Be 2.86, 4 Ta 2.88
Be 0.0000 0.0000 0.5000  8 Ta 2.86, 4 Te 2.88
Te 0.5000 0.5000 0.5000  8 Ta 2.86, 4 Be 2.88

(10)
# TaBe2Te

A crystal of TaBe2Te relaxed with PBEsol (SCAN, the Alexandria database).

Results
Space-group type ... F-43m
Crystal system ... cubic
Spin magnetization ... 0.0000 μB per atom
Energy ... -109.19 eV per formula unit

a b c (Å): 4.4729 4.4729 4.4729
angles (deg): 60.00 60.00 60.00
Closest atoms and distances in Å follow each position.
Fractional positions:
Ta 0.0000 0.0000 0.0000  4 Be 2.74, 4 Te 2.74
Be 0.5000 0.5000 0.5000  4 Te 2.74, 4 Be 2.74
Be 0.7500 0.7500 0.7500  4 Ta 2.74, 4 Be 2.74
Te 0.2500 0.2500 0.2500  4 Ta 2.74, 4 Be 2.74

(11)
# Ta2BeTe

A crystal of Ta2BeTe relaxed with PBEsol (SCAN, the Alexandria database).

Results
Space-group type ... C2/m
Crystal system ... monoclinic
Spin magnetization ... 0.0000 μB per atom
Energy ... -173.57 eV per formula unit

a b c (Å): 4.8180 4.8180 4.7423
angles (deg): 97.85 97.85 39.20
Closest atoms and distances in Å follow each position.
Fractional positions:
Ta 0.2496 0.2496 0.2294  3 Be 2.66-2.87, 2 Ta 2.71, 3 Te 2.76-2.93
Ta 0.7504 0.7504 0.7706  3 Be 2.66-2.87, 2 Ta 2.71, 3 Te 2.76-2.93
Be 0.5000 0.5000 0.0000  6 Ta 2.66-2.87, 4 Te 2.87
Te 0.0000 0.0000 0.5000  6 Ta 2.76-2.93, 4 Be 2.87

(12)
# TaBe2Te

A crystal of TaBe2Te relaxed with PBEsol (SCAN, the Alexandria database).

Results
Space-group type ... P4mm
Crystal system ... tetragonal
Spin magnetization ... 0.0000 μB per atom
Energy ... -111.24 eV per formula unit

a b c (Å): 3.3378 3.3378 5.3802
angles (deg): 90.00 90.00 90.00
Closest atoms and distances in Å follow each position.
Fractional positions:
Ta 0.0000 0.0000 0.0000  1 Be 2.43
Be 0.0000 0.0000 0.5481  1 Ta 2.43, 4 Be 2.58
Be 0.5000 0.5000 0.7425  1 Te 2.49, 4 Be 2.58, 4 Ta 2.74
Te 0.5000 0.5000 0.2791  5 Be 2.49-2.77

Question: Number 10 is which compound?
Answer: TaBe2Te